PBE-GGA MgAl3Zn2, optimized geometry; calculated formation energy = 3.5 kJ/mol of atoms
1.0
2.941 1.698 6.863
-2.941 1.698 6.863
0.000 -3.396 6.863
Mg Al Zn
2 6 4
direct
0.222 0.222 0.222
0.778 0.778 0.778
0.234 0.720 0.720
0.280 0.280 0.766
0.280 0.766 0.280
0.720 0.234 0.720
0.720 0.720 0.234
0.766 0.280 0.280
0.000 0.000 0.000
0.000 0.500 0.500
0.500 0.000 0.500
0.500 0.500 0.000